1.
VASP calculation (PBE) on a relaxed structure of Pr2CuP3Pt12.

For the calculated formation energy, the calculation gives -0.42 eV/atom. As for the crystal system: trigonal. The density of states at the Fermi level is 6.31 states/eV/f.u. The value obtained for the total DFT energy (no corrections) is -6.103 eV per atom. As for the symmetry: No. 166.

Structure (CIF):
```
data_Pr2CuP3Pt12
_chemical_formula_sum 'Pr2 Cu1 P3 Pt12'
_cell_length_a 7.674
_cell_length_b 7.674
_cell_length_c 7.674
_cell_angle_alpha 64.98
_cell_angle_beta 64.98
_cell_angle_gamma 64.98
_space_group_name_H-M_alt 'P 1'
_space_group_IT_number 1
_space_group_name_Hall 'P 1'
loop_
_atom_site_label
_atom_site_type_symbol
_atom_site_fract_x
_atom_site_fract_y
_atom_site_fract_z
_atom_site_occupancy
Pt1 Pt 0.898 0.344 0.344 1
Pt2 Pt 0.122 0.632 0.122 1
Pt3 Pt 0.102 0.656 0.656 1
Pt4 Pt 0.656 0.656 0.102 1
Pt5 Pt 0.878 0.368 0.878 1
Pt6 Pt 0.878 0.878 0.368 1
Pt7 Pt 0.632 0.122 0.122 1
Pt8 Pt 0.344 0.344 0.898 1
Pt9 Pt 0.368 0.878 0.878 1
Pt10 Pt 0.344 0.898 0.344 1
Pt11 Pt 0.122 0.122 0.632 1
Pt12 Pt 0.656 0.102 0.656 1
P1 P 0.000 0.000 0.500 1
P2 P 0.000 0.500 0.000 1
P3 P 0.500 0.000 0.000 1
Pr1 Pr 0.384 0.384 0.384 1
Pr2 Pr 0.616 0.616 0.616 1
Cu1 Cu 0.000 0.000 0.000 1
```



2.
VASP calculation (PBE) on a relaxed structure of Tc2MoRuN.

As for the crystal system: tetragonal. The density of states at the Fermi level is 6.14 states/eV/f.u. The value obtained for the total DFT energy (no corrections) is -9.824 eV per atom. The calculation puts the formation energy without anion corrections at 9 meV/atom. As for the symmetry: No. 123.

Structure (CIF):
```
data_Tc2MoRuN
_chemical_formula_sum 'Tc2 Mo1 Ru1 N1'
_cell_length_a 4.019
_cell_length_b 4.019
_cell_length_c 4.100
_cell_angle_alpha 90.00
_cell_angle_beta 90.00
_cell_angle_gamma 90.00
_space_group_name_H-M_alt 'P 1'
_space_group_IT_number 1
_space_group_name_Hall 'P 1'
loop_
_atom_site_label
_atom_site_type_symbol
_atom_site_fract_x
_atom_site_fract_y
_atom_site_fract_z
_atom_site_occupancy
Mo1 Mo 0.000 0.000 0.500 1
Ru1 Ru 0.500 0.500 0.500 1
Tc1 Tc 0.500 0.000 0.000 1
Tc2 Tc 0.000 0.500 0.000 1
N1 N 0.000 0.000 0.000 1
```



3.
VASP calculation (PBE) on a relaxed structure of Ti4FeRu3.

For the calculated formation energy, the calculation gives -0.66 eV/atom. As for the crystal system: orthorhombic. The density of states at the Fermi level is 1.96 states/eV/f.u. The value obtained for the total DFT energy (no corrections) is -9.148 eV per atom. As for the symmetry: No. 47.

Structure (CIF):
```
data_Ti4FeRu3
_chemical_formula_sum 'Ti4 Fe1 Ru3'
_cell_length_a 3.056
_cell_length_b 4.326
_cell_length_c 8.630
_cell_angle_alpha 90.00
_cell_angle_beta 90.00
_cell_angle_gamma 90.00
_space_group_name_H-M_alt 'P 1'
_space_group_IT_number 1
_space_group_name_Hall 'P 1'
loop_
_atom_site_label
_atom_site_type_symbol
_atom_site_fract_x
_atom_site_fract_y
_atom_site_fract_z
_atom_site_occupancy
Ru1 Ru 0.500 0.000 0.753 1
Ru2 Ru 0.500 0.500 0.500 1
Ru3 Ru 0.500 0.000 0.247 1
Ti1 Ti 0.000 0.500 0.757 1
Ti2 Ti 0.000 0.000 0.000 1
Ti3 Ti 0.000 0.000 0.500 1
Ti4 Ti 0.000 0.500 0.243 1
Fe1 Fe 0.500 0.500 0.000 1
```



4.
VASP calculation (PBE) on a relaxed structure of TcPtI3.

As for the crystal system: cubic. The density of states at the Fermi level is 8.68 states/eV/f.u. The value obtained for the total DFT energy (no corrections) is -3.144 eV per atom. The distance to the lowest polymorph of the same formula comes out at 163 meV/atom. The calculation puts the formation energy without anion corrections at 1067 meV/atom. As for the symmetry: No. 221.

Structure (CIF):
```
data_TcPtI3
_chemical_formula_sum 'Tc1 Pt1 I3'
_cell_length_a 5.366
_cell_length_b 5.366
_cell_length_c 5.366
_cell_angle_alpha 90.00
_cell_angle_beta 90.00
_cell_angle_gamma 90.00
_space_group_name_H-M_alt 'P 1'
_space_group_IT_number 1
_space_group_name_Hall 'P 1'
loop_
_atom_site_label
_atom_site_type_symbol
_atom_site_fract_x
_atom_site_fract_y
_atom_site_fract_z
_atom_site_occupancy
Pt1 Pt 0.500 0.500 0.500 1
Tc1 Tc 0.000 0.000 0.000 1
I1 I 0.000 0.000 0.500 1
I2 I 0.500 0.000 0.000 1
I3 I 0.000 0.500 0.000 1
```



5.
VASP calculation (PBE) on a relaxed structure of La3Dy6Th2.

For the calculated formation energy, the calculation gives 0.21 eV/atom. As for the crystal system: monoclinic. The density of states at the Fermi level is 15.78 states/eV/f.u. The value obtained for the total DFT energy (no corrections) is -4.989 eV per atom. As for the symmetry: No. 12.

Structure (CIF):
```
data_La3Dy6Th2
_chemical_formula_sum 'La3 Dy6 Th2'
_cell_length_a 6.205
_cell_length_b 6.209
_cell_length_c 11.614
_cell_angle_alpha 84.84
_cell_angle_beta 79.63
_cell_angle_gamma 60.02
_space_group_name_H-M_alt 'P 1'
_space_group_IT_number 1
_space_group_name_Hall 'P 1'
loop_
_atom_site_label
_atom_site_type_symbol
_atom_site_fract_x
_atom_site_fract_y
_atom_site_fract_z
_atom_site_occupancy
Dy1 Dy 0.247 0.000 0.259 1
Dy2 Dy 0.753 0.000 0.741 1
Dy3 Dy 0.087 0.333 0.741 1
Dy4 Dy 0.580 0.333 0.259 1
Dy5 Dy 0.420 0.667 0.741 1
Dy6 Dy 0.913 0.667 0.259 1
La1 La 0.664 0.672 0.000 1
La2 La 0.336 0.328 0.000 1
La3 La 0.000 0.000 0.000 1
Th1 Th 0.834 0.332 0.500 1
Th2 Th 0.166 0.668 0.500 1
```



6.
VASP calculation (PBE) on a relaxed structure of Hf5AlS.

As for the crystal system: monoclinic. The density of states at the Fermi level is 4.62 states/eV/f.u. The value obtained for the total DFT energy (no corrections) is -8.593 eV per atom. The calculation puts the formation energy without anion corrections at -359 meV/atom. As for the symmetry: No. 15.

Structure (CIF):
```
data_Hf5AlS
_chemical_formula_sum 'Hf10 Al2 S2'
_cell_length_a 5.860
_cell_length_b 5.860
_cell_length_c 9.899
_cell_angle_alpha 74.78
_cell_angle_beta 74.78
_cell_angle_gamma 63.97
_space_group_name_H-M_alt 'P 1'
_space_group_IT_number 1
_space_group_name_Hall 'P 1'
loop_
_atom_site_label
_atom_site_type_symbol
_atom_site_fract_x
_atom_site_fract_y
_atom_site_fract_z
_atom_site_occupancy
Hf1 Hf 0.596 0.977 0.645 1
Hf2 Hf 0.475 0.775 0.960 1
Hf3 Hf 0.023 0.404 0.855 1
Hf4 Hf 0.977 0.596 0.145 1
Hf5 Hf 0.525 0.225 0.040 1
Hf6 Hf 0.775 0.475 0.460 1
Hf7 Hf 0.930 0.070 0.250 1
Hf8 Hf 0.070 0.930 0.750 1
Hf9 Hf 0.404 0.023 0.355 1
Hf10 Hf 0.225 0.525 0.540 1
Al1 Al 0.453 0.547 0.250 1
Al2 Al 0.547 0.453 0.750 1
S1 S 0.000 0.000 0.000 1
S2 S 0.000 0.000 0.500 1
```



7.
VASP calculation (PBE) on a relaxed structure of Cd2F3.

As for the crystal system: monoclinic. The value obtained for the total DFT energy (no corrections) is -3.409 eV per atom. The distance to the lowest polymorph of the same formula comes out at 0 meV/atom. The calculation puts the formation energy without anion corrections at -1920 meV/atom. As for the symmetry: No. 11.

Structure (CIF):
```
data_Cd2F3
_chemical_formula_sum 'Cd4 F6'
_cell_length_a 3.338
_cell_length_b 6.301
_cell_length_c 7.748
_cell_angle_alpha 71.26
_cell_angle_beta 90.00
_cell_angle_gamma 90.00
_space_group_name_H-M_alt 'P 1'
_space_group_IT_number 1
_space_group_name_Hall 'P 1'
loop_
_atom_site_label
_atom_site_type_symbol
_atom_site_fract_x
_atom_site_fract_y
_atom_site_fract_z
_atom_site_occupancy
Cd1 Cd 0.250 0.792 0.887 1
Cd2 Cd 0.250 0.644 0.365 1
Cd3 Cd 0.750 0.208 0.113 1
Cd4 Cd 0.750 0.356 0.635 1
F1 F 0.750 0.984 0.694 1
F2 F 0.250 0.455 0.148 1
F3 F 0.250 0.178 0.893 1
F4 F 0.250 0.016 0.306 1
F5 F 0.750 0.545 0.852 1
F6 F 0.750 0.822 0.107 1
```



8.
VASP calculation (PBE) on a relaxed structure of NaInTc2O8.

As for the crystal system: tetragonal. The density of states at the Fermi level is 3.13 states/eV/f.u. The value obtained for the total DFT energy (no corrections) is -6.791 eV per atom. The calculation puts the formation energy without anion corrections at -1420 meV/atom. As for the symmetry: No. 82.

Structure (CIF):
```
data_NaInTc2O8
_chemical_formula_sum 'Na1 In1 Tc2 O8'
_cell_length_a 5.244
_cell_length_b 5.244
_cell_length_c 6.981
_cell_angle_alpha 112.06
_cell_angle_beta 112.06
_cell_angle_gamma 90.00
_space_group_name_H-M_alt 'P 1'
_space_group_IT_number 1
_space_group_name_Hall 'P 1'
loop_
_atom_site_label
_atom_site_type_symbol
_atom_site_fract_x
_atom_site_fract_y
_atom_site_fract_z
_atom_site_occupancy
O1 O 0.085 0.989 0.656 1
O2 O 0.437 0.342 0.166 1
O3 O 0.011 0.429 0.344 1
O4 O 0.176 0.563 0.834 1
O5 O 0.571 0.667 0.656 1
O6 O 0.658 0.271 0.834 1
O7 O 0.729 0.824 0.166 1
O8 O 0.333 0.915 0.344 1
Tc1 Tc 0.250 0.750 0.500 1
Tc2 Tc 0.500 0.500 0.000 1
In1 In 0.750 0.250 0.500 1
Na1 Na 0.000 0.000 0.000 1
```